Computed, not measured: a relaxed PdPt6 crystal at the GGA-PBE level of DFT.

The structure in POSCAR format:
```
PdPt6
1.0
5.185 0.000 0.000
0.000 5.185 0.000
0.000 0.000 8.840
Pt Pd
12 2
Direct
0.500 0.500 0.143
0.500 0.500 0.857
0.680 0.820 0.641
0.320 0.180 0.641
0.000 0.000 0.143
0.180 0.680 0.641
0.820 0.320 0.641
0.680 0.180 0.359
0.820 0.680 0.359
0.320 0.820 0.359
0.000 0.000 0.857
0.180 0.320 0.359
0.000 0.500 0.000
0.500 0.000 0.000
```

Values from the calculation:
DFT formation energy (eV/f.u.): 1.64
Space-group type: P4/nbm (125)
M_tot (μB per formula unit): 0.00

Computed, not measured: a relaxed Pd5Pt crystal at the GGA-PBE level of DFT.

The structure in POSCAR format:
```
Pd5Pt
1.0
-0.956 -1.090 3.672
-3.610 -0.979 -1.231
3.695 -5.035 -0.533
Pd Pt
5 1
Direct
0.500 0.834 0.668
0.000 0.333 0.666
0.500 0.166 0.332
0.500 0.500 0.000
0.000 0.667 0.334
0.000 0.000 0.000
```

Values from the calculation:
DFT formation energy (eV/f.u.): -0.03
Space-group type: Cmmm (65)
M_tot (μB per formula unit): 1.69

Copy entry 1 word for word.
Computed, not measured: a relaxed PdPt6 crystal at the GGA-PBE level of DFT.

The structure in POSCAR format:
```
PdPt6
1.0
5.185 0.000 0.000
0.000 5.185 0.000
0.000 0.000 8.840
Pt Pd
12 2
Direct
0.500 0.500 0.143
0.500 0.500 0.857
0.680 0.820 0.641
0.320 0.180 0.641
0.000 0.000 0.143
0.180 0.680 0.641
0.820 0.320 0.641
0.680 0.180 0.359
0.820 0.680 0.359
0.320 0.820 0.359
0.000 0.000 0.857
0.180 0.320 0.359
0.000 0.500 0.000
0.500 0.000 0.000
```

Values from the calculation:
DFT formation energy (eV/f.u.): 1.64
Space-group type: P4/nbm (125)
M_tot (μB per formula unit): 0.00

> What is the formula in the first record?

PdPt6

Please write out number 2 again, unchanged.
Computed, not measured: a relaxed Pd5Pt crystal at the GGA-PBE level of DFT.

The structure in POSCAR format:
```
Pd5Pt
1.0
-0.956 -1.090 3.672
-3.610 -0.979 -1.231
3.695 -5.035 -0.533
Pd Pt
5 1
Direct
0.500 0.834 0.668
0.000 0.333 0.666
0.500 0.166 0.332
0.500 0.500 0.000
0.000 0.667 0.334
0.000 0.000 0.000
```

Values from the calculation:
DFT formation energy (eV/f.u.): -0.03
Space-group type: Cmmm (65)
M_tot (μB per formula unit): 1.69